1.
Compound: SmTc2C2
Source: Alexandria
Functional: PBE-GGA
Structure: optimized geometry

Computed properties:
Volume = 149.36 Å³ per cell
Size of the total moment = 0.000 Bohr magnetons per cell
Energy relative to the elements = 0.080 eV per atom

abc: 3.8591 3.8591 10.0289
angles: 90.00 90.00 90.00
Closest atoms and distances in Å follow each position.
Space group I4/mmm (No. 139)
Unique sites:
Sm1 0.0000 0.0000 0.0000 x2  8 Tc 3.16, 10 C 3.22-3.31
Tc1 0.0000 0.5000 0.2500 x4  4 C 2.09
C1 0.0000 0.0000 0.3296 x4  4 Tc 2.09

---

2.
Compound: Y4TeBr
Source: Alexandria
Functional: PBE-GGA
Structure: optimized geometry

Computed properties:
Volume = 774.79 Å³ per cell
Formation energy from raw total energies = 27 meV/atom
Size of the total moment = 0.001 Bohr magnetons per cell

abc: 9.1846 9.1846 9.1846
angles: 90.00 90.00 90.00
Closest atoms and distances in Å follow each position.
Space group F-43m (No. 216)
Unique sites:
Y1 0.1242 0.1242 0.3758 x16  6 Y 3.23-3.27
Te1 0.2500 0.2500 0.7500 x4  12 Y 3.81, 4 Br 3.98
Br1 0.0000 0.0000 0.0000 x4  12 Y 3.81, 4 Te 3.98

---

3.
Compound: TaTiI2O
Source: Alexandria
Functional: PBE-GGA
Structure: optimized geometry

Computed properties:
Volume = 125.69 Å³ per cell
Energy above the lowest structure with this stoichiometry = 0.11 eV per formula unit
Formation energy from raw total energies = -97 meV/atom
Size of the total moment = 0.517 Bohr magnetons per cell

abc: 5.7202 5.7202 3.8413
angles: 90.00 90.00 90.00
Closest atoms and distances in Å follow each position.
Space group P4/mmm (No. 123)
Unique sites:
Ta1 0.0000 0.0000 0.0000 x1  2 O 1.92
Ti1 0.5000 0.5000 0.5000 x1  8 I 3.45, 2 Ti 3.84
I1 0.0000 0.5000 0.0000 x2  2 Ta 2.86
O1 0.0000 0.0000 0.5000 x1  2 Ta 1.92

---

4.
Compound: Pu3Si2Rh
Source: Alexandria
Functional: PBE-GGA
Structure: optimized geometry

Computed properties:
Volume = 499.84 Å³ per cell
Energy above the lowest structure with this stoichiometry = 0.66 eV per formula unit
Formation energy from raw total energies = -395 meV/atom
Size of the total moment = 67.783 Bohr magnetons per cell

abc: 5.9155 14.8268 5.6990
angles: 90.00 90.00 90.00
Closest atoms and distances in Å follow each position.
Space group Ibam (No. 72)
Unique sites:
Pu1 0.0000 0.0000 0.2500 x4  2 Pu 2.85, 4 Si 2.90, 2 Rh 2.96
Pu2 0.2204 0.1794 0.0000 x8  5 Si 2.93-3.25
Si1 0.1925 0.3813 0.0000 x8  2 Rh 2.53
Rh1 0.0000 0.5000 0.2500 x4  4 Si 2.53

---

5.
Compound: CsRb2CaTa
Source: Alexandria
Functional: PBE-GGA
Structure: optimized geometry

Computed properties:
Volume = 439.94 Å³ per cell
Size of the total moment = 4.261 Bohr magnetons per cell
Energy relative to the elements = 1.775 eV per atom

abc: 7.5236 7.5236 7.7721
angles: 90.00 90.00 90.00
Closest atoms and distances in Å follow each position.
Space group P4/mmm (No. 123)
Unique sites:
Cs1 0.0000 0.0000 0.0000 x1  2 Ca 3.89
Rb1 0.0000 0.5000 0.5000 x2  2 Ca 3.76
Ca1 0.0000 0.0000 0.5000 x1  4 Rb 3.76, 2 Cs 3.89
Ta1 0.5000 0.5000 0.0000 x1  4 Cs 5.32, 8 Rb 5.41

---

6.
Compound: PuSnAu6
Source: Alexandria
Functional: PBE-GGA
Structure: optimized geometry

Computed properties:
Volume = 327.96 Å³ per cell
Size of the total moment = 10.812 Bohr magnetons per cell
Energy relative to the elements = -0.204 eV per atom

abc: 9.2826 4.7213 8.3995
angles: 90.00 117.01 90.00
Closest atoms and distances in Å follow each position.
Space group C2/m (No. 12)
Unique sites:
Pu1 0.0000 0.0000 0.0000 x2  12 Au 3.09-3.17
Sn1 0.0000 0.0000 0.5000 x2  12 Au 2.85-3.19
Au1 0.0318 0.5000 0.7687 x4  6 Au 2.88-3.03, 2 Pu 3.16, 2 Sn 3.19
Au2 0.2401 0.5000 0.1476 x4  1 Sn 2.85, 6 Au 2.88-3.12, 3 Pu 3.09-3.17
Au3 0.2439 0.5000 0.6024 x4  3 Sn 2.87-3.11, 6 Au 2.88-3.12, 1 Pu 3.10

---

7.
Compound: LiMnAsSe2
Source: Alexandria
Functional: PBE-GGA
Structure: optimized geometry

Computed properties:
Volume = 113.84 Å³ per cell
Energy above the lowest structure with this stoichiometry = 0.00 eV per formula unit
Formation energy from raw total energies = -79 meV/atom
Size of the total moment = 2.700 Bohr magnetons per cell

abc: 4.9572 4.9572 4.6324
angles: 90.00 90.00 90.00
Closest atoms and distances in Å follow each position.
Space group P4/mmm (No. 123)
Unique sites:
Li1 0.0000 0.0000 0.0000 x1  8 Se 3.39, 4 As 3.51
Mn1 0.5000 0.5000 0.5000 x1  2 As 2.32, 4 Se 2.48
As1 0.5000 0.5000 0.0000 x1  2 Mn 2.32
Se1 0.0000 0.5000 0.5000 x2  2 Mn 2.48